This record from the Alexandria database describes SrScB after structural relaxation. The functional is PBE.

Geometry as POSCAR:
```
SrScB
1.0
3.640 -2.102 0.000
0.000 4.203 0.000
0.000 0.000 9.220
Sr B Sc
2 2 2
Cartesian
0.000 0.000 0.000 Sr
0.000 0.000 4.610 Sr
2.427 0.000 6.915 B
1.213 2.102 2.305 B
2.427 0.000 2.305 Sc
1.213 2.102 6.915 Sc
```

## Properties
D(E_F): 3.91 states/eV per cell
Uncorrected energy: -4.54 eV per atom
Energy above the lowest structure with this stoichiometry: 492.9 meV per atom
Total magnetization: 0.00 μB/cell
Energy relative to the elements: 0.358 eV/atom